YSb2Mo: optimized geometry, PBE-GGA.

Calculated values
As for the crystal system: orthorhombic. The value obtained for the formation energy from raw total energies is -0.3 eV per formula unit. The offset from the most stable computed form is 182 meV per atom. The final energy is -6.465 eV per atom.

a = 5.138 Å, b = 5.540 Å, c = 5.540 Å
α = 38.29°, β = 90.00°, γ = 90.00°
Sites, in units of the cell vectors:
Y 0.000 0.000 0.000
Sb 0.000 0.724 0.724
Sb 0.500 0.394 0.394
Mo 0.500 0.675 0.675